(1)
DFT (PBEsol) results for a relaxed structure of Rb4PbO4.

```
data_Rb4PbO4
_chemical_formula_sum 'Rb16 Pb4 O16'
_space_group_name_H-M_alt 'P 1 21/c 1'
_space_group_IT_number 14
_cell_length_a 11.147
_cell_length_b 7.064
_cell_length_c 11.367
_cell_angle_alpha 90.00
_cell_angle_beta 110.19
_cell_angle_gamma 90.00
loop_
_space_group_symop_operation_xyz
'x,y,z'
'-x,-y,-z'
'-x,y+1/2,-z+1/2'
'x,-y+1/2,z+1/2'
loop_
_atom_site_label
_atom_site_type_symbol
_atom_site_fract_x
_atom_site_fract_y
_atom_site_fract_z
Rb1 Rb 0.054 0.083 0.194
Rb2 Rb 0.168 0.600 0.088
Rb3 Rb 0.367 0.670 0.891
Rb4 Rb 0.432 0.205 0.798
Pb1 Pb 0.244 0.131 0.995
O1 O 0.063 0.243 0.968
O2 O 0.223 0.504 0.327
O3 O 0.310 0.545 0.653
O4 O 0.373 0.144 0.530
```

Values from the calculation:
Energy relative to the elements, uncorrected   -1.219 eV per atom
Total magnetic moment   0.71 Bohr magnetons per cell
E_tot   -4.452 eV/atom


(2)
DFT (PBEsol) results for a relaxed structure of RbPbO2.

```
data_RbPbO2
_chemical_formula_sum 'Rb4 Pb4 O8'
_space_group_name_H-M_alt 'I -4 2 d'
_space_group_IT_number 122
_space_group_name_Hall 'I -4 2bw'
_cell_length_a 6.256
_cell_length_b 6.256
_cell_length_c 9.224
_cell_angle_alpha 90.00
_cell_angle_beta 90.00
_cell_angle_gamma 90.00
loop_
_atom_site_label
_atom_site_type_symbol
_atom_site_fract_x
_atom_site_fract_y
_atom_site_fract_z
Rb1 Rb 0.000 0.000 0.000
Pb1 Pb 0.000 0.000 0.500
O1 O 0.161 0.250 0.625
```

Values from the calculation:
Energy relative to the elements, uncorrected   -1.115 eV per atom
Total magnetic moment   0.00 Bohr magnetons per cell
E_tot   -4.996 eV/atom


(3)
DFT (PBEsol) results for a relaxed structure of Rb2PbO3.

```
data_Rb2PbO3
_chemical_formula_sum 'Rb8 Pb4 O12'
_space_group_name_H-M_alt 'P n m a'
_space_group_IT_number 62
_cell_length_a 6.064
_cell_length_b 10.906
_cell_length_c 7.294
_cell_angle_alpha 90.00
_cell_angle_beta 90.00
_cell_angle_gamma 90.00
loop_
_space_group_symop_operation_xyz
'x,y,z'
'-x,-y,-z'
'-x+1/2,-y,z+1/2'
'x+1/2,y,-z+1/2'
'x+1/2,-y+1/2,-z+1/2'
'-x+1/2,y+1/2,z+1/2'
'-x,y+1/2,-z'
'x,-y+1/2,z'
loop_
_atom_site_label
_atom_site_type_symbol
_atom_site_fract_x
_atom_site_fract_y
_atom_site_fract_z
Rb1 Rb 0.234 0.086 0.108
Pb1 Pb 0.231 0.750 0.156
O1 O 0.009 0.119 0.727
O2 O 0.155 0.750 0.883
```

Values from the calculation:
Energy relative to the elements, uncorrected   -1.221 eV per atom
Total magnetic moment   0.40 Bohr magnetons per cell
E_tot   -4.854 eV/atom


(4)
DFT (PBEsol) results for a relaxed structure of Rb2PbO2.

```
data_Rb2PbO2
_chemical_formula_sum 'Rb8 Pb4 O8'
_space_group_name_H-M_alt 'P -1'
_space_group_IT_number 2
_cell_length_a 7.534
_cell_length_b 7.745
_cell_length_c 10.368
_cell_angle_alpha 84.60
_cell_angle_beta 70.09
_cell_angle_gamma 61.11
loop_
_space_group_symop_operation_xyz
'x,y,z'
'-x,-y,-z'
loop_
_atom_site_label
_atom_site_type_symbol
_atom_site_fract_x
_atom_site_fract_y
_atom_site_fract_z
Rb1 Rb 0.066 0.450 0.172
Rb2 Rb 0.072 0.936 0.179
Rb3 Rb 0.241 0.264 0.494
Rb4 Rb 0.395 0.570 0.862
Pb1 Pb 0.304 0.708 0.471
Pb2 Pb 0.402 0.060 0.872
O1 O 0.066 0.215 0.980
O2 O 0.195 0.595 0.353
O3 O 0.339 0.486 0.627
O4 O 0.496 0.805 0.007
```

Values from the calculation:
Energy relative to the elements, uncorrected   -1.227 eV per atom
Total magnetic moment   0.00 Bohr magnetons per cell
E_tot   -4.537 eV/atom


(5)
DFT (PBEsol) results for a relaxed structure of Rb3PbO.

```
data_Rb3PbO
_chemical_formula_sum 'Rb3 Pb1 O1'
_space_group_name_H-M_alt 'P m -3 m'
_space_group_IT_number 221
_space_group_name_Hall '-P 4 2 3'
_cell_length_a 6.923
_cell_length_b 6.923
_cell_length_c 6.923
_cell_angle_alpha 90.00
_cell_angle_beta 90.00
_cell_angle_gamma 90.00
loop_
_atom_site_label
_atom_site_type_symbol
_atom_site_fract_x
_atom_site_fract_y
_atom_site_fract_z
Rb1 Rb 0.000 0.000 0.500
Pb1 Pb 0.000 0.000 0.000
O1 O 0.500 0.500 0.500
```

Values from the calculation:
Energy relative to the elements, uncorrected   0.422 eV per atom
Total magnetic moment   1.91 Bohr magnetons per cell
E_tot   -2.043 eV/atom


(6)
DFT (PBEsol) results for a relaxed structure of Rb2PbO3.

```
data_Rb2PbO3
_chemical_formula_sum 'Rb8 Pb4 O12'
_space_group_name_H-M_alt 'C m c 21'
_space_group_IT_number 36
_cell_length_a 10.950
_cell_length_b 7.303
_cell_length_c 6.055
_cell_angle_alpha 90.00
_cell_angle_beta 90.00
_cell_angle_gamma 90.00
loop_
_space_group_symop_operation_xyz
'x,y,z'
'-x,-y,z+1/2'
'-x,y,z'
'x,-y,z+1/2'
'x+1/2,y+1/2,z'
'-x+1/2,-y+1/2,z+1/2'
'-x+1/2,y+1/2,z'
'x+1/2,-y+1/2,z+1/2'
loop_
_atom_site_label
_atom_site_type_symbol
_atom_site_fract_x
_atom_site_fract_y
_atom_site_fract_z
Rb1 Rb 0.163 0.143 0.000
Pb1 Pb 0.000 0.406 0.468
O1 O 0.000 0.134 0.389
O2 O 0.130 0.476 0.730
```

Values from the calculation:
Energy relative to the elements, uncorrected   -1.220 eV per atom
Total magnetic moment   0.41 Bohr magnetons per cell
E_tot   -4.853 eV/atom


(7)
DFT (PBEsol) results for a relaxed structure of RbPb2WO.

```
data_RbPb2WO
_chemical_formula_sum 'Rb1 Pb2 W1 O1'
_space_group_name_H-M_alt 'P 4/m m m'
_space_group_IT_number 123
_space_group_name_Hall '-P 4 2'
_cell_length_a 5.907
_cell_length_b 5.907
_cell_length_c 4.943
_cell_angle_alpha 90.00
_cell_angle_beta 90.00
_cell_angle_gamma 90.00
loop_
_atom_site_label
_atom_site_type_symbol
_atom_site_fract_x
_atom_site_fract_y
_atom_site_fract_z
Rb1 Rb 0.000 0.000 0.000
Pb1 Pb 0.000 0.500 0.000
W1 W 0.000 0.000 0.500
O1 O 0.500 0.500 0.500
```

Values from the calculation:
Energy relative to the elements, uncorrected   2.876 eV per atom
Total magnetic moment   3.07 Bohr magnetons per cell
E_tot   -2.740 eV/atom


(8)
DFT (PBEsol) results for a relaxed structure of RbYPbO2.

```
data_RbYPbO2
_chemical_formula_sum 'Rb1 Y1 Pb1 O2'
_space_group_name_H-M_alt 'P 4/m m m'
_space_group_IT_number 123
_space_group_name_Hall '-P 4 2'
_cell_length_a 4.679
_cell_length_b 4.679
_cell_length_c 5.620
_cell_angle_alpha 90.00
_cell_angle_beta 90.00
_cell_angle_gamma 90.00
loop_
_atom_site_label
_atom_site_type_symbol
_atom_site_fract_x
_atom_site_fract_y
_atom_site_fract_z
Rb1 Rb 0.000 0.000 0.000
Y1 Y 0.500 0.500 0.500
Pb1 Pb 0.000 0.000 0.500
O1 O 0.000 0.500 0.000
```

Values from the calculation:
Energy relative to the elements, uncorrected   0.427 eV per atom
Total magnetic moment   1.57 Bohr magnetons per cell
E_tot   -4.042 eV/atom